# LiTa2Hg | Alexandria via LeMat-Bulk | SCAN | PBEsol geometry
# Energy (eV/atom): -50.72
data_LiTa2Hg
_chemical_formula_sum 'Li1 Ta2 Hg1'
_cell_length_a 3.3985
_cell_length_b 3.3985
_cell_length_c 6.0619
_cell_angle_alpha 90.00
_cell_angle_beta 90.00
_cell_angle_gamma 90.00
_space_group_name_H-M_alt 'P 1'
_space_group_IT_number 1
loop_
_space_group_symop_operation_xyz
'x,y,z'
loop_
_atom_site_label
_atom_site_fract_x
_atom_site_fract_y
_atom_site_fract_z
Hg1 0.0000 0.0000 0.5262
Li1 0.5000 0.5000 0.7387
Ta1 0.0000 0.0000 0.0112
Ta2 0.5000 0.5000 0.2239